This record from Alexandria via LeMat-Bulk describes a relaxed structure of InPb2WO6. The functional is PBE+U.

Unit cell a=5.7721 b=5.8712 c=10.1666 alpha=90.00 beta=124.29 gamma=90.00
Closest atoms and distances in Å follow each position.
Space group P2_1/c (No. 14)
Inequivalent atoms, fractional coordinates:
In 0.0000 0.0000 0.0000  6 O 2.16-2.24
Pb 0.2474 0.0353 0.7382  5 O 2.49-2.76
W 0.5000 0.0000 0.5000  6 O 1.95-2.07
O 0.1833 0.1929 0.4796  1 W 2.06, 1 In 2.16
O 0.2811 0.7294 0.4725  1 W 1.95
O 0.3216 0.0202 0.2577  1 W 2.07, 1 In 2.20

Results
- Electronic total energy: -125.1 eV for the cell shown
- M_tot: 2.0 Bohr magnetons per cell